Record 1
Density functional theory data (PBE) for Li4Tb3PuTe8 after structural relaxation.

Calculated values
Size of the total moment in Bohr magnetons per cell: 15.0
Uncorrected formation energy in meV/atom: -1217
Density of states at the Fermi level in states/eV per atom: 0.914

Cell lengths 8.7416, 8.7416, 21.1579 Å; angles 90.00, 90.00, 120.00 degrees
Closest atoms and distances in Å follow each position.
Space group R-3m (No. 166, hexagonal axes)
One atom of each set of equivalent atoms:
Li  0.0000  0.0000  0.0000  6 Te 3.03
Li  0.0000  0.5000  0.0000  6 Te 3.05-3.06
Tb  0.0000  0.5000  0.5000  6 Te 3.10
Pu  0.0000  0.0000  0.5000  6 Te 3.13
Te  0.0000  0.0000  0.2521  3 Li 3.05, 3 Tb 3.10
Te  0.0029  0.5014  0.7476  3 Li 3.03-3.06, 2 Tb 3.10, 1 Pu 3.13

=====

Record 2
Density functional theory data (PBE) for K4Ho3AlO8 after structural relaxation.

Calculated values
Size of the total moment in Bohr magnetons per cell: 0.0
Uncorrected formation energy in meV/atom: -2586
Density of states at the Fermi level in states/eV per atom: 0.000

Cell lengths 6.7090, 6.7090, 18.6579 Å; angles 90.00, 90.00, 120.00 degrees
Closest atoms and distances in Å follow each position.
Space group R-3m (No. 166, hexagonal axes)
One atom of each set of equivalent atoms:
K  0.0000  0.0000  0.0000  6 O 2.90
K  0.0000  0.5000  0.0000  6 O 2.74-2.75
Ho  0.0000  0.5000  0.5000  6 O 2.26-2.30
Al  0.0000  0.0000  0.5000  6 O 2.09
O  0.0000  0.0000  0.2289  3 Ho 2.26
O  0.0267  0.5134  0.2257  1 Al 2.09, 2 Ho 2.30

=====

Record 3
Density functional theory data (PBE) for Na16Sr2Li after structural relaxation.

Calculated values
Size of the total moment in Bohr magnetons per cell: 0.0
Density of states at the Fermi level in states/eV per atom: 0.593
VASP energy in Ry/atom: -0.099

Cell lengths 11.9010, 11.9010, 17.7772 Å; angles 90.00, 90.00, 120.00 degrees
Closest atoms and distances in Å follow each position.
Space group R3m (No. 160, hexagonal axes)
One atom of each set of equivalent atoms:
Na  0.0000  0.0000  0.0557  1 Li 3.49, 6 Na 3.81
Na  0.0001  0.2991  0.1499  8 Na 3.46-3.78
Na  0.0010  0.5005  0.2971  9 Na 3.44-3.81
Na  0.1715  0.3431  0.3333  8 Na 3.43-3.74, 1 Li 3.82
Na  0.1741  0.3483  0.9833  9 Na 3.43-3.81, 1 Li 3.48
Sr  0.0000  0.0000  0.4812  1 Li 4.08, 15 Na 4.18-4.41
Sr  0.0000  0.0000  0.8132  13 Na 4.19-4.36
Li  0.0000  0.0000  0.2518  7 Na 3.48-3.82

=====

Record 4
Density functional theory data (PBE) for Ti6Al5Ga after structural relaxation.

Calculated values
Size of the total moment in Bohr magnetons per cell: 0.0
Density of states at the Fermi level in states/eV per atom: 0.920
VASP energy in Ry/atom: -0.439

Cell lengths 9.2858, 8.3644, 5.1881 Å; angles 90.00, 96.82, 90.00 degrees
Closest atoms and distances in Å follow each position.
Space group C2/m (No. 12)
One atom of each set of equivalent atoms:
Ti  0.2486  0.0000  0.2530  1 Ga 2.77, 6 Ti 2.80-2.95, 5 Al 2.81-2.89
Ti  0.2488  0.1654  0.7506  6 Ti 2.77-2.96, 5 Al 2.78-2.89, 1 Ga 2.87
Al  0.0000  0.1676  0.0000  6 Ti 2.78-2.89, 4 Al 2.78-2.94, 2 Ga 2.95
Al  0.0000  0.3331  0.5000  1 Ga 2.79, 5 Al 2.79-2.95, 6 Ti 2.80-2.89
Al  0.0000  0.5000  0.0000  6 Al 2.78-2.95, 6 Ti 2.81-2.88
Ga  0.0000  0.0000  0.5000  6 Ti 2.77-2.87, 6 Al 2.79-2.95

=====

Record 5
Density functional theory data (PBE) for TiVPdW after structural relaxation.

Calculated values
Size of the total moment in Bohr magnetons per cell: 0.0
Density of states at the Fermi level in states/eV per atom: 1.176
VASP energy in Ry/atom: -0.656

Cell lengths 6.2314, 6.2314, 6.2314 Å; angles 90.00, 90.00, 90.00 degrees
Closest atoms and distances in Å follow each position.
Space group F-43m (No. 216)
One atom of each set of equivalent atoms:
Ti  0.0000  0.0000  0.0000  4 W 2.70, 4 Pd 2.70
V  0.0000  0.0000  0.5000  4 W 2.70, 4 Pd 2.70
Pd  0.2500  0.2500  0.2500  4 Ti 2.70, 4 V 2.70
W  0.2500  0.2500  0.7500  4 Ti 2.70, 4 V 2.70

=====

Record 6
Density functional theory data (PBE) for LaTb2Ge after structural relaxation.

Calculated values
Size of the total moment in Bohr magnetons per cell: 0.0
Distance to the lowest polymorph of the same formula in eV per formula unit: 0.00
Density of states at the Fermi level in states/eV per atom: 1.282

Cell lengths 4.7987, 4.7987, 4.6602 Å; angles 90.00, 90.00, 90.00 degrees
Closest atoms and distances in Å follow each position.
Space group P4/mmm (No. 123)
One atom of each set of equivalent atoms:
La  0.0000  0.0000  0.0000  8 Tb 3.34, 4 Ge 3.39
Tb  0.0000  0.5000  0.5000  4 Ge 3.34, 4 La 3.34, 4 Tb 3.39
Ge  0.5000  0.5000  0.0000  8 Tb 3.34, 4 La 3.39